A relaxed U3TcP3 crystal. Source: Alexandria, functional PBE.

Cell lengths 7.9022, 7.9022, 5.4250 Å; angles 90.00, 90.00, 120.00 degrees
Atoms (fractional coordinates):
U (0.0955, 0.6776, 0.2500)
U (0.3224, 0.4180, 0.2500)
U (0.4180, 0.0955, 0.7500)
U (0.5820, 0.9045, 0.2500)
U (0.6776, 0.5820, 0.7500)
U (0.9045, 0.3224, 0.7500)
Tc (0.3333, 0.6667, 0.7500)
Tc (0.6667, 0.3333, 0.2500)
P (0.0749, 0.7379, 0.7500)
P (0.2621, 0.3370, 0.7500)
P (0.3370, 0.0749, 0.2500)
P (0.6630, 0.9251, 0.7500)
P (0.7379, 0.6630, 0.2500)
P (0.9251, 0.2621, 0.2500)

Computed properties:
**Formation enthalpy at 0 K**: -615 meV/atom
**Raw total energy**: -9.25 eV per atom


A relaxed UTc4P2 crystal. Source: Alexandria, functional PBE.

Cell lengths 4.0566, 13.4364, 4.0002 Å; angles 90.00, 90.00, 90.00 degrees
Atoms (fractional coordinates):
U (0.0000, 0.0000, 0.0000)
U (0.5000, 0.5000, 0.0000)
Tc (0.0000, 0.1817, 0.5000)
Tc (0.0000, 0.3113, 0.0000)
Tc (0.0000, 0.6887, 0.0000)
Tc (0.0000, 0.8183, 0.5000)
Tc (0.5000, 0.1887, 0.0000)
Tc (0.5000, 0.3183, 0.5000)
Tc (0.5000, 0.6817, 0.5000)
Tc (0.5000, 0.8113, 0.0000)
P (0.0000, 0.4153, 0.5000)
P (0.0000, 0.5847, 0.5000)
P (0.5000, 0.0847, 0.5000)
P (0.5000, 0.9153, 0.5000)

Computed properties:
**Formation enthalpy at 0 K**: -545 meV/atom
**Raw total energy**: -9.63 eV per atom


A relaxed U2Tc5P4 crystal. Source: Alexandria, functional PBE.

Cell lengths 8.0102, 6.8825, 5.8240 Å; angles 77.67, 57.08, 45.26 degrees
Atoms (fractional coordinates):
U (0.1048, 0.1048, 0.8952)
U (0.8952, 0.8952, 0.1048)
Tc (0.0000, 0.0000, 0.5000)
Tc (0.2500, 0.2500, 0.2500)
Tc (0.5000, 0.5000, 0.0000)
Tc (0.5000, 0.5000, 0.5000)
Tc (0.7500, 0.7500, 0.7500)
P (0.2134, 0.5133, 0.4867)
P (0.4867, 0.7866, 0.2134)
P (0.5133, 0.2134, 0.7866)
P (0.7866, 0.4867, 0.5133)

Computed properties:
**Formation enthalpy at 0 K**: -545 meV/atom
**Raw total energy**: -9.28 eV per atom


A relaxed UTcP crystal. Source: Alexandria, functional PBE.

Cell lengths 4.2120, 4.2120, 3.3894 Å; angles 90.00, 90.00, 120.00 degrees
Atoms (fractional coordinates):
U (0.0000, 0.0000, 0.0000)
Tc (0.6667, 0.3333, 0.5000)
P (0.3333, 0.6667, 0.5000)

Computed properties:
**Formation enthalpy at 0 K**: -602 meV/atom
**Raw total energy**: -9.62 eV per atom
**E above lowest polymorph**: 51 meV per atom